(1)
Compound: TaInNi3
Source: the Alexandria database
Functional: PBE
Structure: optimized geometry

Structure (extended XYZ):
```
5
Lattice="4.4957 0.0000 0.0000 0.0000 4.4957 0.0000 0.0000 0.0000 4.4957" Properties=species:S:1:pos:R:3 pbc="T T T"
Ta 0.0000 0.0000 0.0000
In 2.2478 2.2478 2.2478
Ni 0.0000 2.2478 2.2478
Ni 2.2478 0.0000 2.2478
Ni 2.2478 2.2478 0.0000
```

- calculated density (g/cm³) = 8.62
- total energy (eV/atom) = -4.9948

=====

(2)
Compound: SrS2NO
Source: the Alexandria database
Functional: PBE
Structure: optimized geometry

Structure (extended XYZ):
```
5
Lattice="5.8682 0.0000 0.0000 0.0000 5.8682 0.0000 0.0000 0.0000 5.0689" Properties=species:S:1:pos:R:3 pbc="T T T"
Sr 0.0000 0.0000 0.0000
S 0.0000 2.9341 0.0000
S 2.9341 0.0000 0.0000
N 0.0000 0.0000 2.5345
O 2.9341 2.9341 2.5345
```

- calculated density (g/cm³) = 1.73
- total energy (eV/atom) = -3.2369
- formation energy (no corrections) (kJ/mol of atoms) = 135.77
- distance to the lowest polymorph of the same formula (meV/atom) = 1362.4

=====

(3)
Compound: Ac2LaZn
Source: the Alexandria database
Functional: PBE
Structure: optimized geometry

Structure (extended XYZ):
```
4
Lattice="5.2753 0.0000 0.0000 0.0000 5.2753 0.0000 0.0000 0.0000 4.9835" Properties=species:S:1:pos:R:3 pbc="T T T"
Ac 0.0000 2.6376 0.0000
Ac 2.6376 0.0000 0.0000
La 0.0000 0.0000 2.4918
Zn 2.6376 2.6376 2.4918
```

- calculated density (g/cm³) = 7.88
- total energy (eV/atom) = -3.5771
- distance to the lowest polymorph of the same formula (meV/atom) = 156.6

=====

Question: Look up the total energy of the third one.
Answer: -3.5771 eV/atom